# HgMoRu2

A PBEsol-optimized structure of HgMoRu2 (SCAN, the Alexandria database).

Lattice parameters (Å, degrees): 5.309 5.309 2.740 104.28 104.28 116.01
Sites, in units of the cell vectors:
Hg (0.000, 0.000, 0.000)
Mo (0.500, 0.500, 0.000)
Ru (0.000, 0.500, 0.500)
Ru (0.500, 0.000, 0.500)

## Properties
Calculated formation energy   237 kJ/mol of formula units
DOS at the Fermi energy   3.4 states/eV per cell
E_tot   -42.56 eV per atom

***

# HgMoRu

A PBEsol-optimized structure of HgMoRu (SCAN, the Alexandria database).

Lattice parameters (Å, degrees): 4.288 4.288 4.288 60.00 60.00 60.00
Sites, in units of the cell vectors:
Hg (0.000, 0.000, 0.000)
Mo (0.500, 0.500, 0.500)
Ru (0.750, 0.750, 0.750)

## Properties
Calculated formation energy   217 kJ/mol of formula units
ΔE to the lowest computed polymorph   0.00 eV per formula unit
DOS at the Fermi energy   4.4 states/eV per cell
E_tot   -45.21 eV per atom

***

# HgMoRu2

A PBEsol-optimized structure of HgMoRu2 (SCAN, the Alexandria database).

Lattice parameters (Å, degrees): 2.740 2.740 8.148 90.00 90.00 90.00
Sites, in units of the cell vectors:
Hg (0.000, 0.000, 0.000)
Mo (0.500, 0.500, 0.277)
Ru (0.000, 0.000, 0.525)
Ru (0.500, 0.500, 0.733)

## Properties
Calculated formation energy   136 kJ/mol of formula units
DOS at the Fermi energy   3.4 states/eV per cell
E_tot   -42.82 eV per atom